Material: CdSiAs2
Method: DFT, PBE
State: relaxed

Results
- final energy (eV/cell) = -13.89
- magnetic moment (μB/atom) = 0.000
- energy relative to the elements, uncorrected (eV per formula unit) = 1.74
- crystal system = tetragonal

Cell and atoms, written as CIF:
```
data_CdSiAs2
_chemical_formula_sum 'Cd1 Si1 As2'
_cell_length_a 2.873
_cell_length_b 2.873
_cell_length_c 9.566
_cell_angle_alpha 90.00
_cell_angle_beta 90.00
_cell_angle_gamma 90.00
_space_group_name_H-M_alt 'P 4 m m'
_space_group_IT_number 99
loop_
_space_group_symop_operation_xyz
'x,y,z'
'-y,x,z'
'-x,-y,z'
'y,-x,z'
'-x,y,z'
'y,x,z'
'x,-y,z'
'-y,-x,z'
loop_
_atom_site_label
_atom_site_type_symbol
_atom_site_fract_x
_atom_site_fract_y
_atom_site_fract_z
Cd1 Cd 0.000 0.000 0.000
Si1 Si 0.500 0.500 0.245
As1 As 0.000 0.000 0.464
As2 As 0.500 0.500 0.753
```

Material: CdSi2As
Method: DFT, PBE
State: relaxed

Results
- final energy (eV/cell) = -29.01
- magnetic moment (μB/atom) = 0.000
- energy relative to the elements, uncorrected (eV per formula unit) = 1.90
- offset from the most stable computed form (eV/f.u.) = 0.64
- crystal system = orthorhombic

Cell and atoms, written as CIF:
```
data_CdSi2As
_chemical_formula_sum 'Cd2 Si4 As2'
_cell_length_a 3.422
_cell_length_b 4.632
_cell_length_c 9.481
_cell_angle_alpha 90.00
_cell_angle_beta 90.00
_cell_angle_gamma 90.00
_space_group_name_H-M_alt 'I m m m'
_space_group_IT_number 71
_space_group_name_Hall '-I 2 2'
loop_
_atom_site_label
_atom_site_type_symbol
_atom_site_fract_x
_atom_site_fract_y
_atom_site_fract_z
Cd1 Cd 0.000 0.000 0.000
Si1 Si 0.000 0.500 0.217
As1 As 0.000 0.000 0.500
```

Material: CdSi2As
Method: DFT, PBE
State: relaxed

Results
- final energy (eV/cell) = -60.58
- magnetic moment (μB/atom) = 0.000
- energy relative to the elements, uncorrected (eV per formula unit) = 1.27
- offset from the most stable computed form (eV/f.u.) = 0.00
- crystal system = tetragonal

Cell and atoms, written as CIF:
```
data_CdSi2As
_chemical_formula_sum 'Cd4 Si8 As4'
_cell_length_a 5.950
_cell_length_b 5.950
_cell_length_c 11.145
_cell_angle_alpha 90.00
_cell_angle_beta 90.00
_cell_angle_gamma 90.00
_space_group_name_H-M_alt 'I -4 2 d'
_space_group_IT_number 122
_space_group_name_Hall 'I -4 2bw'
loop_
_atom_site_label
_atom_site_type_symbol
_atom_site_fract_x
_atom_site_fract_y
_atom_site_fract_z
Cd1 Cd 0.000 0.000 0.000
Si1 Si 0.227 0.250 0.625
As1 As 0.000 0.000 0.500
```

Material: CdSiAs2
Method: DFT, PBE
State: relaxed

Results
- final energy (eV/cell) = -14.29
- magnetic moment (μB/atom) = 0.000
- energy relative to the elements, uncorrected (eV per formula unit) = 1.35
- crystal system = orthorhombic

Cell and atoms, written as CIF:
```
data_CdSiAs2
_chemical_formula_sum 'Cd1 Si1 As2'
_cell_length_a 3.263
_cell_length_b 3.276
_cell_length_c 7.514
_cell_angle_alpha 90.00
_cell_angle_beta 90.00
_cell_angle_gamma 90.00
_space_group_name_H-M_alt 'P m m m'
_space_group_IT_number 47
loop_
_space_group_symop_operation_xyz
'x,y,z'
'-x,-y,-z'
'-x,-y,z'
'x,y,-z'
'x,-y,-z'
'-x,y,z'
'-x,y,-z'
'x,-y,z'
loop_
_atom_site_label
_atom_site_type_symbol
_atom_site_fract_x
_atom_site_fract_y
_atom_site_fract_z
Cd1 Cd 0.000 0.000 0.000
Si1 Si 0.000 0.000 0.500
As1 As 0.500 0.500 0.309
```

Material: Cd2SiAs
Method: DFT, PBE
State: relaxed

Results
- final energy (eV/cell) = -21.08
- magnetic moment (μB/atom) = 0.000
- energy relative to the elements, uncorrected (eV per formula unit) = 1.36
- crystal system = orthorhombic

Cell and atoms, written as CIF:
```
data_Cd2SiAs
_chemical_formula_sum 'Cd4 Si2 As2'
_cell_length_a 6.380
_cell_length_b 8.581
_cell_length_c 3.020
_cell_angle_alpha 90.00
_cell_angle_beta 90.00
_cell_angle_gamma 90.00
_space_group_name_H-M_alt 'C m m m'
_space_group_IT_number 65
_space_group_name_Hall '-C 2 2'
loop_
_atom_site_label
_atom_site_type_symbol
_atom_site_fract_x
_atom_site_fract_y
_atom_site_fract_z
Cd1 Cd 0.250 0.250 0.000
Si1 Si 0.000 0.000 0.500
As1 As 0.000 0.500 0.500
```

Material: Cd2SiAs2
Method: DFT, PBE
State: relaxed

Results
- final energy (eV/cell) = -29.93
- magnetic moment (μB/atom) = 0.000
- energy relative to the elements, uncorrected (eV per formula unit) = 1.59
- offset from the most stable computed form (eV/f.u.) = 0.00
- crystal system = tetragonal

Cell and atoms, written as CIF:
```
data_Cd2SiAs2
_chemical_formula_sum 'Cd4 Si2 As4'
_cell_length_a 7.367
_cell_length_b 7.367
_cell_length_c 4.031
_cell_angle_alpha 90.00
_cell_angle_beta 90.00
_cell_angle_gamma 90.00
_space_group_name_H-M_alt 'P 4/m b m'
_space_group_IT_number 127
_space_group_name_Hall '-P 4 2ab'
loop_
_atom_site_label
_atom_site_type_symbol
_atom_site_fract_x
_atom_site_fract_y
_atom_site_fract_z
Cd1 Cd 0.136 0.364 0.000
Si1 Si 0.000 0.000 0.500
As1 As 0.185 0.685 0.500
```